## Tl3TeC (PBE)

Data for an optimized crystal structure of Tl3TeC.

Output
V: 132.5 Å³ per cell
N(E_F): 2.240 states/eV/cell
Total magnetization: 0.000 μB per formula unit
E: -3.20 eV per atom

Cell: 5.098 5.098 5.098 Å, 90.00 90.00 90.00°
Positions (direct):
Tl1 0.000 0.000 0.500
Tl2 0.000 0.500 0.000
Tl3 0.500 0.000 0.000
Te1 0.500 0.500 0.500
C1 0.000 0.000 0.000